# Mg2ScCu (GGA-PBEsol, optimized geometry)
# **Energy of formation from the pure elements**: -105 meV per atom
data_Mg2ScCu
_chemical_formula_sum 'Mg2 Sc1 Cu1'
_cell_length_a 3.1690
_cell_length_b 3.1690
_cell_length_c 7.6120
_cell_angle_alpha 90.00
_cell_angle_beta 90.00
_cell_angle_gamma 90.00
_symmetry_space_group_name_H-M 'P 1'
_symmetry_Int_Tables_number 1
_symmetry_space_group_name_Hall 'P 1'
loop_
_atom_site_label
_atom_site_fract_x
_atom_site_fract_y
_atom_site_fract_z
Mg1 0.0000 0.0000 0.0000
Mg2 0.5000 0.5000 0.2888
Sc1 0.5000 0.5000 0.6979
Cu1 0.0000 0.0000 0.4921

***

# KLiS (GGA-PBEsol, optimized geometry)
# **Final energy**: -3.747 eV/atom
data_KLiS
_chemical_formula_sum 'K2 Li2 S2'
_cell_length_a 4.2678
_cell_length_b 4.2678
_cell_length_c 6.9207
_cell_angle_alpha 90.00
_cell_angle_beta 90.00
_cell_angle_gamma 90.00
_symmetry_space_group_name_H-M 'P 1'
_symmetry_Int_Tables_number 1
_symmetry_space_group_name_Hall 'P 1'
loop_
_atom_site_label
_atom_site_fract_x
_atom_site_fract_y
_atom_site_fract_z
K1 0.2500 0.2500 0.1596
K2 0.7500 0.7500 0.8404
Li1 0.2500 0.7500 0.5000
Li2 0.7500 0.2500 0.5000
S1 0.2500 0.2500 0.6887
S2 0.7500 0.7500 0.3113

***

# CaBeCo (GGA-PBEsol, optimized geometry)
# **Energy of formation from the pure elements**: 177 meV per atom
data_CaBeCo
_chemical_formula_sum 'Ca1 Be1 Co1'
_cell_length_a 5.3456
_cell_length_b 5.3456
_cell_length_c 5.3456
_cell_angle_alpha 147.33
_cell_angle_beta 147.33
_cell_angle_gamma 46.87
_symmetry_space_group_name_H-M 'P 1'
_symmetry_Int_Tables_number 1
_symmetry_space_group_name_Hall 'P 1'
loop_
_atom_site_label
_atom_site_fract_x
_atom_site_fract_y
_atom_site_fract_z
Ca1 0.0000 0.0000 0.0000
Be1 0.7263 0.7263 0.0000
Co1 0.2825 0.2825 0.0000

***

# KTc2MoS (GGA-PBEsol, optimized geometry)
# **Final energy**: -6.600 eV/atom
data_KTc2MoS
_chemical_formula_sum 'K1 Tc2 Mo1 S1'
_cell_length_a 4.3531
_cell_length_b 4.3531
_cell_length_c 5.1283
_cell_angle_alpha 90.00
_cell_angle_beta 90.00
_cell_angle_gamma 90.00
_symmetry_space_group_name_H-M 'P 1'
_symmetry_Int_Tables_number 1
_symmetry_space_group_name_Hall 'P 1'
loop_
_atom_site_label
_atom_site_fract_x
_atom_site_fract_y
_atom_site_fract_z
K1 0.0000 0.0000 0.0000
Tc1 0.0000 0.5000 0.5000
Tc2 0.5000 0.0000 0.5000
Mo1 0.5000 0.5000 0.0000
S1 0.0000 0.0000 0.5000

***

# Si2AsOs (GGA-PBEsol, optimized geometry)
# **Final energy**: -7.187 eV/atom
data_Si2AsOs
_chemical_formula_sum 'Si2 As1 Os1'
_cell_length_a 4.5018
_cell_length_b 4.5018
_cell_length_c 5.6479
_cell_angle_alpha 107.15
_cell_angle_beta 107.15
_cell_angle_gamma 37.73
_symmetry_space_group_name_H-M 'P 1'
_symmetry_Int_Tables_number 1
_symmetry_space_group_name_Hall 'P 1'
loop_
_atom_site_label
_atom_site_fract_x
_atom_site_fract_y
_atom_site_fract_z
Si1 0.0000 0.0000 0.0000
Si2 0.1490 0.1490 0.6230
As1 0.3471 0.3471 0.3810
Os1 0.7198 0.7198 0.9940

***

# HfTiBr2 (GGA-PBEsol, optimized geometry)
# **Final energy**: -6.063 eV/atom
data_HfTiBr2
_chemical_formula_sum 'Hf1 Ti1 Br2'
_cell_length_a 9.2086
_cell_length_b 9.2086
_cell_length_c 9.2086
_cell_angle_alpha 20.08
_cell_angle_beta 20.08
_cell_angle_gamma 20.08
_symmetry_space_group_name_H-M 'P 1'
_symmetry_Int_Tables_number 1
_symmetry_space_group_name_Hall 'P 1'
loop_
_atom_site_label
_atom_site_fract_x
_atom_site_fract_y
_atom_site_fract_z
Hf1 0.0000 0.0000 0.0000
Ti1 0.5000 0.5000 0.5000
Br1 0.0998 0.0998 0.0998
Br2 0.9002 0.9002 0.9002

***

# SiAs2Os (GGA-PBEsol, optimized geometry)
# **Final energy**: -6.665 eV/atom
data_SiAs2Os
_chemical_formula_sum 'Si1 As2 Os1'
_cell_length_a 2.8580
_cell_length_b 2.8580
_cell_length_c 9.1982
_cell_angle_alpha 90.00
_cell_angle_beta 90.00
_cell_angle_gamma 119.43
_symmetry_space_group_name_H-M 'P 1'
_symmetry_Int_Tables_number 1
_symmetry_space_group_name_Hall 'P 1'
loop_
_atom_site_label
_atom_site_fract_x
_atom_site_fract_y
_atom_site_fract_z
Si1 0.0000 0.0000 0.0000
As1 0.0000 0.0000 0.5600
As2 0.5000 0.5000 0.2440
Os1 0.5000 0.5000 0.7894

***

# BaSi2H6O8 (GGA-PBEsol, optimized geometry)
# **Final energy**: -6.386 eV/atom
data_BaSi2H6O8
_chemical_formula_sum 'Ba4 Si8 H24 O32'
_cell_length_a 7.8211
_cell_length_b 10.5378
_cell_length_c 8.4283
_cell_angle_alpha 90.00
_cell_angle_beta 95.24
_cell_angle_gamma 90.00
_symmetry_space_group_name_H-M 'P 1'
_symmetry_Int_Tables_number 1
_symmetry_space_group_name_Hall 'P 1'
loop_
_atom_site_label
_atom_site_fract_x
_atom_site_fract_y
_atom_site_fract_z
Ba1 0.1985 0.1484 0.1273
Ba2 0.1985 0.3516 0.6273
Ba3 0.8015 0.6484 0.3727
Ba4 0.8015 0.8516 0.8727
Si1 0.3011 0.7443 0.9646
Si2 0.3011 0.7557 0.4646
Si3 0.4868 0.1137 0.7763
Si4 0.4868 0.3863 0.2763
Si5 0.5132 0.6137 0.7237
Si6 0.5132 0.8863 0.2237
Si7 0.6989 0.2443 0.5354
Si8 0.6989 0.2557 0.0354
H1 0.0077 0.6110 0.0448
H2 0.0077 0.8890 0.5448
H3 0.0699 0.6409 0.7251
H4 0.0699 0.8591 0.2251
H5 0.1183 0.0870 0.8083
H6 0.1183 0.4130 0.3083
H7 0.1681 0.0360 0.4985
H8 0.1681 0.4640 0.9985
H9 0.1848 0.6725 0.2257
H10 0.1848 0.8275 0.7257
H11 0.4081 0.5712 0.1597
H12 0.4081 0.9288 0.6597
H13 0.5919 0.0712 0.3403
H14 0.5919 0.4288 0.8403
H15 0.8152 0.1725 0.2743
H16 0.8152 0.3275 0.7743
H17 0.8319 0.5360 0.0015
H18 0.8319 0.9640 0.5015
H19 0.8817 0.5870 0.6917
H20 0.8817 0.9130 0.1917
H21 0.9301 0.1409 0.7749
H22 0.9301 0.3591 0.2749
H23 0.9923 0.1110 0.4552
H24 0.9923 0.3890 0.9552
O1 0.0057 0.5710 0.6678
O2 0.0057 0.9290 0.1678
O3 0.1200 0.1189 0.4596
O4 0.1200 0.3811 0.9596
O5 0.1455 0.7146 0.3296
O6 0.1455 0.7854 0.8296
O7 0.2347 0.6277 0.0696
O8 0.2347 0.8723 0.5696
O9 0.3010 0.1497 0.8245
O10 0.3010 0.3503 0.3245
O11 0.3569 0.6332 0.5794
O12 0.3569 0.8668 0.0794
O13 0.4712 0.7071 0.8738
O14 0.4712 0.7929 0.3738
O15 0.4865 0.0344 0.2761
O16 0.4865 0.4656 0.7761
O17 0.5135 0.5344 0.2239
O18 0.5135 0.9656 0.7239
O19 0.5288 0.2071 0.6262
O20 0.5288 0.2929 0.1262
O21 0.6431 0.1332 0.9206
O22 0.6431 0.3668 0.4206
O23 0.6990 0.6497 0.6755
O24 0.6990 0.8503 0.1755
O25 0.7653 0.1277 0.4304
O26 0.7653 0.3723 0.9304
O27 0.8545 0.2146 0.1704
O28 0.8545 0.2854 0.6704
O29 0.8800 0.6189 0.0404
O30 0.8800 0.8811 0.5404
O31 0.9943 0.0710 0.8322
O32 0.9943 0.4290 0.3322